KRbCuBr4 | the Alexandria database | PBE-GGA | relaxed; DOS at the Fermi energy = 7.8 states/eV/f.u.; SG = P2_1/m (11)
1.0
7.643 0.000 0.000
0.000 6.910 0.000
-2.981 0.000 9.236
K Rb Cu Br
2 2 2 8
direct
0.244 0.250 0.056 K
0.756 0.750 0.944 K
0.290 0.250 0.574 Rb
0.710 0.750 0.426 Rb
0.215 0.750 0.804 Cu
0.785 0.250 0.196 Cu
0.005 0.509 0.254 Br
0.005 0.991 0.254 Br
0.384 0.750 0.060 Br
0.406 0.750 0.642 Br
0.594 0.250 0.358 Br
0.616 0.250 0.940 Br
0.995 0.009 0.746 Br
0.995 0.491 0.746 Br

K2CuRhBr6 | the Alexandria database | PBE-GGA | relaxed; DOS at the Fermi energy = 6.9 states/eV/f.u.; SG = Fmmm (69)
1.0
0.000 5.187 5.195
5.176 0.000 5.195
5.176 5.187 0.000
K Cu Rh Br
2 1 1 6
direct
0.250 0.250 0.250 K
0.750 0.750 0.750 K
0.000 0.000 0.000 Cu
0.500 0.500 0.500 Rh
0.253 0.747 0.747 Br
0.254 0.254 0.746 Br
0.254 0.746 0.254 Br
0.746 0.254 0.746 Br
0.746 0.746 0.254 Br
0.747 0.253 0.253 Br

KCuRhBr6 | the Alexandria database | PBE-GGA | relaxed; DOS at the Fermi energy = 6.4 states/eV/f.u.; SG = P312 (149)
1.0
6.672 0.000 0.000
-3.336 5.778 0.000
0.000 0.000 7.404
K Cu Rh Br
1 1 1 6
direct
0.000 0.000 0.000 K
0.333 0.667 0.500 Cu
0.667 0.333 0.500 Rh
0.373 0.011 0.693 Br
0.373 0.362 0.307 Br
0.638 0.011 0.307 Br
0.638 0.627 0.693 Br
0.989 0.362 0.693 Br
0.989 0.627 0.307 Br

K2CuSBr | the Alexandria database | PBE-GGA | relaxed; SG = P4/mmm (123)
1.0
6.171 0.000 0.000
0.000 6.171 0.000
0.000 0.000 4.233
K Cu S Br
2 1 1 1
direct
0.000 0.500 0.000 K
0.500 0.000 0.000 K
0.000 0.000 0.500 Cu
0.000 0.000 0.000 S
0.500 0.500 0.500 Br

KCu2SbBr8 | the Alexandria database | PBE-GGA | relaxed; DOS at the Fermi energy = 6.9 states/eV/f.u.; SG = P-1 (2)
1.0
7.065 0.000 0.000
-2.648 6.678 0.000
-0.626 -3.579 8.585
K Cu Sb Br
1 2 1 8
direct
0.000 0.000 0.000 K
0.434 0.328 0.796 Cu
0.566 0.672 0.204 Cu
0.000 0.500 0.500 Sb
0.164 0.542 0.243 Br
0.266 0.309 0.553 Br
0.282 0.915 0.689 Br
0.470 0.700 0.959 Br
0.530 0.300 0.041 Br
0.718 0.085 0.311 Br
0.734 0.691 0.447 Br
0.836 0.458 0.757 Br

KSc2CuBr8 | the Alexandria database | PBE-GGA | relaxed; SG = P-1 (2)
1.0
7.705 0.000 0.000
3.156 7.361 0.000
0.436 1.324 7.893
K Sc Cu Br
1 2 1 8
direct
0.000 0.000 0.000 K
0.030 0.482 0.256 Sc
0.970 0.518 0.744 Sc
0.000 0.000 0.500 Cu
0.166 0.749 0.695 Br
0.209 0.282 0.552 Br
0.213 0.295 0.000 Br
0.266 0.631 0.226 Br
0.734 0.369 0.774 Br
0.787 0.705 0.000 Br
0.791 0.718 0.448 Br
0.834 0.251 0.305 Br

K2ScCuBr6 | the Alexandria database | PBE-GGA | relaxed; DOS at the Fermi energy = 0.0 states/eV/f.u.; SG = Pmmn (59)
1.0
7.585 0.000 0.000
0.000 10.572 0.000
0.000 0.000 7.585
K Sc Cu Br
4 2 2 12
direct
0.250 0.000 0.248 K
0.250 0.500 0.248 K
0.750 0.000 0.752 K
0.750 0.500 0.752 K
0.250 0.250 0.751 Sc
0.750 0.750 0.249 Sc
0.250 0.750 0.744 Cu
0.750 0.250 0.256 Cu
0.001 0.250 0.998 Br
0.002 0.250 0.502 Br
0.250 0.502 0.751 Br
0.250 0.998 0.751 Br
0.498 0.250 0.502 Br
0.499 0.250 0.998 Br
0.501 0.750 0.002 Br
0.502 0.750 0.498 Br
0.750 0.002 0.249 Br
0.750 0.498 0.249 Br
0.998 0.750 0.498 Br
0.999 0.750 0.002 Br

KScCu2Br6 | the Alexandria database | PBE-GGA | relaxed; DOS at the Fermi energy = 0.0 states/eV/f.u.; SG = C2/c (15)
1.0
7.462 -6.394 0.000
7.462 6.394 0.000
-3.201 0.000 7.331
K Sc Cu Br
2 2 4 12
direct
0.171 0.829 0.750 K
0.829 0.171 0.250 K
0.185 0.815 0.250 Sc
0.815 0.185 0.750 Sc
0.329 0.379 0.800 Cu
0.379 0.329 0.300 Cu
0.621 0.671 0.700 Cu
0.671 0.621 0.200 Cu
0.041 0.185 0.667 Br
0.173 0.601 0.979 Br
0.185 0.041 0.167 Br
0.262 0.441 0.525 Br
0.399 0.827 0.521 Br
0.441 0.262 0.025 Br
0.559 0.738 0.975 Br
0.601 0.173 0.479 Br
0.738 0.559 0.475 Br
0.815 0.959 0.833 Br
0.827 0.399 0.021 Br
0.959 0.815 0.333 Br

K2CuSeBr6 | the Alexandria database | PBE-GGA | relaxed; DOS at the Fermi energy = 4.2 states/eV/f.u.; SG = Fmmm (69)
1.0
0.000 5.356 5.536
5.334 0.000 5.536
5.334 5.356 0.000
K Cu Se Br
2 1 1 6
direct
0.250 0.250 0.250 K
0.750 0.750 0.750 K
0.000 0.000 0.000 Cu
0.500 0.500 0.500 Se
0.216 0.216 0.784 Br
0.254 0.746 0.746 Br
0.255 0.745 0.255 Br
0.745 0.255 0.745 Br
0.746 0.254 0.254 Br
0.784 0.784 0.216 Br

K2CuSeBr | the Alexandria database | PBE-GGA | relaxed; SG = P4/mmm (123)
1.0
6.351 0.000 0.000
0.000 6.351 0.000
0.000 0.000 4.459
K Cu Se Br
2 1 1 1
direct
0.000 0.500 0.000 K
0.500 0.000 0.000 K
0.000 0.000 0.500 Cu
0.000 0.000 0.000 Se
0.500 0.500 0.500 Br

KSmCuBr6 | the Alexandria database | PBE-GGA | relaxed; DOS at the Fermi energy = 0.2 states/eV/f.u.; SG = P1 (1)
1.0
6.962 0.000 0.000
-2.767 6.392 0.000
-0.479 -0.707 7.397
K Sm Cu Br
1 1 1 6
direct
0.000 0.000 0.000 K
0.336 0.663 0.500 Sm
0.688 0.310 0.500 Cu
0.013 0.340 0.676 Br
0.020 0.609 0.230 Br
0.391 0.979 0.769 Br
0.424 0.346 0.284 Br
0.655 0.576 0.715 Br
0.658 0.987 0.323 Br

K2SmCuBr6 | the Alexandria database | PBE-GGA | relaxed; DOS at the Fermi energy = 0.0 states/eV/f.u.; SG = P2_1/c (14)
1.0
7.999 0.000 0.000
0.000 8.746 0.000
-7.910 0.000 9.899
K Sm Cu Br
4 2 2 12
direct
0.225 0.090 0.247 K
0.225 0.410 0.747 K
0.775 0.590 0.253 K
0.775 0.910 0.753 K
0.000 0.000 0.500 Sm
0.000 0.500 0.000 Sm
0.500 0.000 0.000 Cu
0.500 0.500 0.500 Cu
0.117 0.218 0.950 Br
0.117 0.282 0.450 Br
0.246 0.665 0.947 Br
0.246 0.835 0.447 Br
0.386 0.032 0.783 Br
0.386 0.468 0.283 Br
0.614 0.532 0.717 Br
0.614 0.968 0.217 Br
0.754 0.165 0.553 Br
0.754 0.335 0.053 Br
0.883 0.718 0.550 Br
0.883 0.782 0.050 Br

KCuSnBr6 | the Alexandria database | PBE-GGA | relaxed; DOS at the Fermi energy = 9.9 states/eV/f.u.; SG = P-31c (163)
1.0
6.985 0.000 0.000
-3.492 6.049 0.000
0.000 0.000 14.675
K Cu Sn Br
2 2 2 12
direct
0.000 0.000 0.000 K
0.000 0.000 0.500 K
0.333 0.667 0.250 Cu
0.667 0.333 0.750 Cu
0.333 0.667 0.750 Sn
0.667 0.333 0.250 Sn
0.002 0.371 0.646 Br
0.002 0.631 0.854 Br
0.369 0.371 0.854 Br
0.369 0.998 0.646 Br
0.371 0.002 0.146 Br
0.371 0.369 0.354 Br
0.629 0.631 0.646 Br
0.629 0.998 0.854 Br
0.631 0.002 0.354 Br
0.631 0.629 0.146 Br
0.998 0.369 0.146 Br
0.998 0.629 0.354 Br

KCuSnBr4 | the Alexandria database | PBE-GGA | relaxed; DOS at the Fermi energy = 0.0 states/eV/f.u.; SG = P2_1/m (11)
1.0
6.711 0.000 0.000
0.000 7.800 0.000
-2.874 0.000 8.606
K Cu Sn Br
2 2 2 8
direct
0.249 0.250 0.060 K
0.751 0.750 0.940 K
0.187 0.750 0.322 Cu
0.813 0.250 0.678 Cu
0.211 0.250 0.556 Sn
0.789 0.750 0.444 Sn
0.022 0.510 0.737 Br
0.022 0.990 0.737 Br
0.435 0.750 0.158 Br
0.451 0.750 0.582 Br
0.549 0.250 0.418 Br
0.565 0.250 0.842 Br
0.978 0.010 0.263 Br
0.978 0.490 0.263 Br

K2SrCu2Br7 | the Alexandria database | PBE-GGA | relaxed; DOS at the Fermi energy = 5.3 states/eV/f.u.; SG = C2/m (12)
1.0
3.662 -3.662 0.000
3.662 3.662 0.000
-3.639 0.000 13.265
K Sr Cu Br
2 1 2 7
direct
0.180 0.180 0.361 K
0.820 0.820 0.639 K
0.000 0.000 0.000 Sr
0.403 0.403 0.802 Cu
0.597 0.597 0.198 Cu
0.086 0.585 0.174 Br
0.307 0.307 0.611 Br
0.415 0.914 0.826 Br
0.500 0.500 0.000 Br
0.585 0.086 0.174 Br
0.693 0.693 0.389 Br
0.914 0.415 0.826 Br

KSr2CuBr | the Alexandria database | PBE-GGA | relaxed; DOS at the Fermi energy = 3.4 states/eV/f.u.; SG = P4/mmm (123)
1.0
5.809 0.000 0.000
0.000 5.809 0.000
0.000 0.000 7.064
K Sr Cu Br
1 2 1 1
direct
0.000 0.000 0.000 K
0.000 0.500 0.500 Sr
0.500 0.000 0.500 Sr
0.500 0.500 0.500 Cu
0.500 0.500 0.000 Br

K2SrCu2Br6 | the Alexandria database | PBE-GGA | relaxed; DOS at the Fermi energy = 0.0 states/eV/f.u.; SG = C2/m (12)
1.0
6.727 -3.973 0.000
6.727 3.973 0.000
-4.063 0.000 7.077
K Sr Cu Br
2 1 2 6
direct
0.230 0.230 0.192 K
0.770 0.770 0.808 K
0.000 0.000 0.500 Sr
0.456 0.456 0.784 Cu
0.544 0.544 0.216 Cu
0.185 0.681 0.178 Br
0.253 0.253 0.613 Br
0.319 0.815 0.822 Br
0.681 0.185 0.178 Br
0.747 0.747 0.387 Br
0.815 0.319 0.822 Br

KSrCu2Br6 | the Alexandria database | PBE-GGA | relaxed; DOS at the Fermi energy = 12.2 states/eV/f.u.; SG = R-3 (148)
1.0
3.670 2.119 8.068
-3.670 2.119 8.068
0.000 -4.238 8.068
K Sr Cu Br
1 1 2 6
direct
0.000 0.000 0.000 K
0.500 0.500 0.500 Sr
0.243 0.243 0.243 Cu
0.757 0.757 0.757 Cu
0.081 0.442 0.740 Br
0.260 0.919 0.558 Br
0.442 0.740 0.081 Br
0.558 0.260 0.919 Br
0.740 0.081 0.442 Br
0.919 0.558 0.260 Br

KSrCuBr5 | the Alexandria database | PBE-GGA | relaxed; DOS at the Fermi energy = 1.6 states/eV/f.u.; SG = C2/c (15)
1.0
4.573 -6.590 0.000
4.573 6.590 0.000
-4.407 0.000 9.962
K Sr Cu Br
2 2 2 10
direct
0.164 0.836 0.750 K
0.836 0.164 0.250 K
0.500 0.500 0.000 Sr
0.500 0.500 0.500 Sr
0.172 0.828 0.250 Cu
0.828 0.172 0.750 Cu
0.090 0.193 0.925 Br
0.191 0.622 0.380 Br
0.193 0.090 0.425 Br
0.378 0.809 0.120 Br
0.408 0.592 0.750 Br
0.592 0.408 0.250 Br
0.622 0.191 0.880 Br
0.807 0.910 0.575 Br
0.809 0.378 0.620 Br
0.910 0.807 0.075 Br

K2TaCuBr6 | the Alexandria database | PBE-GGA | relaxed; DOS at the Fermi energy = 7.0 states/eV/f.u.; SG = Fm-3m (225)
1.0
0.000 5.312 5.312
5.312 0.000 5.312
5.312 5.312 0.000
K Ta Cu Br
2 1 1 6
direct
0.250 0.250 0.250 K
0.750 0.750 0.750 K
0.000 0.000 0.000 Ta
0.500 0.500 0.500 Cu
0.249 0.249 0.751 Br
0.249 0.751 0.249 Br
0.249 0.751 0.751 Br
0.751 0.249 0.249 Br
0.751 0.249 0.751 Br
0.751 0.751 0.249 Br

The records above yield formation energy from raw total energies values of -1.117 -0.846 -0.622 -1.022 -0.582 -1.429 -1.382 -1.050 -0.777 -0.943 -1.292 -1.477 -0.771 -0.882 -1.165 -0.168 -1.273 -1.098 -1.292 -0.907 eV per atom, respectively.